# 1
## PaNb2Si2 (PBE-GGA)

Data for an optimized crystal structure of PaNb2Si2.

The energy above the most stable polymorph in this dataset is 0.111 eV per atom. The final energy is -8.472 eV per atom. The density of states at the Fermi level is 1.071 states/eV per atom. As for the total magnetization: 0.00 μB/atom.

The space group is C2/m (No. 12) and the conventional cell measures 10.412, 3.745 and 5.015 Å, with angles of 90.00, 102.47 and 90.00 degrees. The inequivalent atoms are Pa at (0.000, 0.000, 0.000), Nb at (0.141, 0.500, 0.583) and Si at (0.222, 0.500, 0.130).


# 2
## Tb3Ho5In (PBE-GGA)

Data for an optimized crystal structure of Tb3Ho5In.

The final energy is -3.974 eV per atom. The density of states at the Fermi level is 1.398 states/eV per atom. As for the total magnetization: 0.00 μB/atom.

The space group is C2/m (No. 12) and the conventional cell measures 13.437, 7.811 and 11.381 Å, with angles of 90.00, 95.62 and 90.00 degrees. The inequivalent atoms are Tb at (0.000, 0.000, 0.000), Tb at (0.000, 0.000, 0.500), Tb at (0.162, 0.500, 0.215), Tb at (0.235, 0.500, 0.527), Ho at (0.000, 0.332, 0.000), Ho at (0.002, 0.500, 0.368), Ho at (0.127, 0.211, 0.763), Ho at (0.241, 0.000, 0.034) and In at (0.098, 0.000, 0.256).


# 3
## TbSmPd4 (PBE-GGA)

Data for an optimized crystal structure of TbSmPd4.

The energy above the most stable polymorph in this dataset is 0.069 eV per atom. The final energy is -5.815 eV per atom. The density of states at the Fermi level is 0.347 states/eV per atom. As for the total magnetization: 0.00 μB/atom.

The space group is F-43m (No. 216) and the conventional cell measures 7.744, 7.744 and 7.744 Å, with angles of 90.00, 90.00 and 90.00 degrees. The inequivalent atoms are Tb at (0.000, 0.000, 0.000), Sm at (0.250, 0.250, 0.250) and Pd at (0.125, 0.125, 0.625).


# 4
## Ca2MgNi (PBE-GGA)

Data for an optimized crystal structure of Ca2MgNi.

The final energy is -2.877 eV per atom. The density of states at the Fermi level is 0.714 states/eV per atom. As for the total magnetization: 0.00 μB/atom.

The space group is P2/m (No. 10) and the conventional cell measures 3.460, 3.575 and 8.212 Å, with angles of 90.00, 90.30 and 90.00 degrees. The inequivalent atoms are Ca at (0.001, 0.000, 0.299), Mg at (0.500, 0.500, 0.000) and Ni at (0.500, 0.500, 0.500).


# 5
## CrTcTe (PBE-GGA)

Data for an optimized crystal structure of CrTcTe.

The energy above the most stable polymorph in this dataset is 0.457 eV per atom. The final energy is -7.264 eV per atom. The density of states at the Fermi level is 0.966 states/eV per atom. As for the total magnetization: 0.02 μB/atom.

The space group is I4mm (No. 107) and the conventional cell measures 3.042, 3.042 and 10.633 Å, with angles of 90.00, 90.00 and 90.00 degrees. The inequivalent atoms are Cr at (0.000, 0.000, 0.000), Tc at (0.000, 0.000, 0.371) and Te at (0.000, 0.000, 0.678).


# 6
## Na4HgBi (PBE-GGA)

Data for an optimized crystal structure of Na4HgBi.

The energy above the most stable polymorph in this dataset is 0.000 eV per atom. The final energy is -1.777 eV per atom. The density of states at the Fermi level is 0.412 states/eV per atom. As for the total magnetization: 0.00 μB/atom.

The space group is C2/m (No. 12) and the conventional cell measures 8.601, 9.213 and 5.303 Å, with angles of 90.00, 127.43 and 90.00 degrees. The inequivalent atoms are Na at (0.248, 0.165, 0.248), Hg at (0.000, 0.000, 0.500) and Bi at (0.000, 0.500, 0.000).


# 7
## Pr6Nd3In (PBE-GGA)

Data for an optimized crystal structure of Pr6Nd3In.

The energy above the most stable polymorph in this dataset is 0.000 eV per atom. The final energy is -4.586 eV per atom. The density of states at the Fermi level is 1.438 states/eV per atom. As for the total magnetization: 0.00 μB/atom.

The space group is Cmc2_1 (No. 36) and the conventional cell measures 10.798, 20.118 and 6.462 Å, with angles of 90.00, 90.00 and 90.00 degrees. The inequivalent atoms are Pr at (0.000, 0.058, 0.000), Pr at (0.000, 0.293, 0.249), Pr at (0.174, 0.464, 0.350), Pr at (0.235, 0.197, 0.028), Nd at (0.000, 0.393, 0.820), Nd at (0.167, 0.124, 0.495) and In at (0.000, 0.236, 0.740).


Question: What is the formula in the sixth record?
Answer: Na4HgBi


Question: The highest density of states at the Fermi level belongs to which entry?
Answer: Pr6Nd3In


Question: What is the density of states at the Fermi level in the first record?
Answer: 1.071 states/eV per atom


Question: What is the formula in the first record?
Answer: PaNb2Si2